# 1
The following is a PBE calculation of a relaxed Zn3NiP crystal, from Alexandria via LeMat-Bulk.

## Properties
Space-group type = Pm-3m (221)
Crystal system = cubic
Energy relative to the lowest polymorph listed for this composition = 198 meV/atom

Cell: 4.5768 4.5768 4.5768 Å, 90.00 90.00 90.00°
Closest atoms and distances in Å follow each position.
Positions (direct):
Zn 0.0000 0.0000 0.5000  2 P 2.29
Zn 0.0000 0.5000 0.0000  2 P 2.29
Zn 0.5000 0.0000 0.0000  2 P 2.29
Ni 0.5000 0.5000 0.5000  12 Zn 3.24
P 0.0000 0.0000 0.0000  6 Zn 2.29

=====

# 2
The following is a PBE calculation of a relaxed AcDy3C crystal, from Alexandria via LeMat-Bulk.

## Properties
Space-group type = Pm-3m (221)
DFT total energy = -5.394 eV per atom
Crystal system = cubic

Cell: 5.1292 5.1292 5.1292 Å, 90.00 90.00 90.00°
Closest atoms and distances in Å follow each position.
Positions (direct):
Ac 0.0000 0.0000 0.0000  12 Dy 3.63
Dy 0.0000 0.5000 0.5000  2 C 2.56
Dy 0.5000 0.0000 0.5000  2 C 2.56
Dy 0.5000 0.5000 0.0000  2 C 2.56
C 0.5000 0.5000 0.5000  6 Dy 2.56

=====

# 3
The following is a PBE calculation of a relaxed Tb8NiSe4S3 crystal, from Alexandria via LeMat-Bulk.

## Properties
Space-group type = R-3m (166)
DFT total energy = -6.035 eV per atom
Crystal system = trigonal

Cell: 8.1065 8.1065 8.1065 Å, 59.26 59.26 59.26°
Closest atoms and distances in Å follow each position.
Positions (direct):
Tb 0.2435 0.2435 0.2435  3 S 2.78, 3 Se 2.93
Tb 0.2534 0.7372 0.7372  1 Ni 2.70, 2 S 2.80, 3 Se 2.91-3.00
Tb 0.2628 0.2628 0.7466  1 Ni 2.70, 2 S 2.80, 3 Se 2.91-3.00
Tb 0.2628 0.7466 0.2628  1 Ni 2.70, 2 S 2.80, 3 Se 2.91-3.00
Tb 0.7372 0.2534 0.7372  1 Ni 2.70, 2 S 2.80, 3 Se 2.91-3.00
Tb 0.7372 0.7372 0.2534  1 Ni 2.70, 2 S 2.80, 3 Se 2.91-3.00
Tb 0.7466 0.2628 0.2628  1 Ni 2.70, 2 S 2.80, 3 Se 2.91-3.00
Tb 0.7565 0.7565 0.7565  3 S 2.78, 3 Se 2.93
Ni 0.5000 0.5000 0.5000  6 Tb 2.70
Se 0.0000 0.0000 0.0000  6 Tb 3.00
Se 0.0000 0.5000 0.5000  6 Tb 2.91-2.93
Se 0.5000 0.0000 0.5000  6 Tb 2.91-2.93
Se 0.5000 0.5000 0.0000  6 Tb 2.91-2.93
S 0.0000 0.0000 0.5000  6 Tb 2.78-2.80
S 0.0000 0.5000 0.0000  6 Tb 2.78-2.80
S 0.5000 0.0000 0.0000  6 Tb 2.78-2.80